Compound: CaZn2Sb2
Source: Alexandria via LeMat-Bulk
Functional: meta-GGA SCAN
Structure: single point on PBEsol structure

Properties
Energy relative to the elements, uncorrected ... -0.49 eV per atom
Space group ... P-3m1, No. 164

a b c (Å): 4.4173 4.4173 7.3318
angles (deg): 90.00 90.00 120.00
Element x y z (fractional)
1 Sb 0.3333 0.6667 0.2565
2 Sb 0.6667 0.3333 0.7435
3 Zn 0.3333 0.6667 0.6333
4 Zn 0.6667 0.3333 0.3667
5 Ca 0.0000 0.0000 0.0000

---

Compound: Ca2ZnSb
Source: Alexandria via LeMat-Bulk
Functional: meta-GGA SCAN
Structure: single point on PBEsol structure

Properties
Energy relative to the elements, uncorrected ... -0.42 eV per atom
Space group ... P4mm, No. 99
Energy above the most stable polymorph in this dataset ... 0.317 eV/atom

a b c (Å): 4.4172 4.4172 6.1363
angles (deg): 90.00 90.00 90.00
Element x y z (fractional)
1 Sb 0.0000 0.0000 0.3998
2 Zn 0.5000 0.5000 0.8493
3 Ca 0.0000 0.0000 0.8980
4 Ca 0.5000 0.5000 0.3529

---

Compound: CaZn2Sb
Source: Alexandria via LeMat-Bulk
Functional: meta-GGA SCAN
Structure: single point on PBEsol structure

Properties
Energy relative to the elements, uncorrected ... -0.23 eV per atom
Space group ... I4/mmm, No. 139

a b c (Å): 4.3507 4.3507 5.4411
angles (deg): 113.57 113.57 90.00
Element x y z (fractional)
1 Sb 0.5000 0.5000 0.0000
2 Zn 0.2500 0.7500 0.5000
3 Zn 0.7500 0.2500 0.5000
4 Ca 0.0000 0.0000 0.0000

---

Compound: CaZnSb2
Source: Alexandria via LeMat-Bulk
Functional: meta-GGA SCAN
Structure: single point on PBEsol structure

Properties
Energy relative to the elements, uncorrected ... -0.22 eV per atom
Space group ... P4mm, No. 99

a b c (Å): 3.9734 3.9734 6.1963
angles (deg): 90.00 90.00 90.00
Element x y z (fractional)
1 Sb 0.0000 0.0000 0.9918
2 Sb 0.5000 0.5000 0.2765
3 Zn 0.0000 0.0000 0.4657
4 Ca 0.5000 0.5000 0.7659

---

Compound: Ca2ZnSb
Source: Alexandria via LeMat-Bulk
Functional: meta-GGA SCAN
Structure: single point on PBEsol structure

Properties
Energy relative to the elements, uncorrected ... -0.66 eV per atom
Space group ... P4/mmm, No. 123
Energy above the most stable polymorph in this dataset ... 0.071 eV/atom

a b c (Å): 4.1563 4.9610 4.9610
angles (deg): 90.00 90.00 90.00
Element x y z (fractional)
1 Sb 0.5000 0.5000 0.5000
2 Zn 0.5000 0.0000 0.0000
3 Ca 0.0000 0.0000 0.5000
4 Ca 0.0000 0.5000 0.0000

---

Compound: CaZn2Sb
Source: Alexandria via LeMat-Bulk
Functional: meta-GGA SCAN
Structure: single point on PBEsol structure

Properties
Energy relative to the elements, uncorrected ... -0.26 eV per atom
Space group ... Imm2, No. 44

a b c (Å): 4.1136 4.2230 5.8552
angles (deg): 111.14 110.57 90.00
Element x y z (fractional)
1 Sb 0.2463 0.7463 0.4926
2 Zn 0.0564 0.0564 0.1128
3 Zn 0.7175 0.2175 0.4350
4 Ca 0.4798 0.4798 0.9597

---

Compound: CaZn3Sb
Source: Alexandria via LeMat-Bulk
Functional: meta-GGA SCAN
Structure: single point on PBEsol structure

Properties
Energy relative to the elements, uncorrected ... 0.97 eV per atom
Space group ... Pm-3m, No. 221

a b c (Å): 5.2301 5.2301 5.2301
angles (deg): 90.00 90.00 90.00
Element x y z (fractional)
1 Sb 0.5000 0.5000 0.5000
2 Zn 0.0000 0.5000 0.0000
3 Zn 0.0000 0.0000 0.5000
4 Zn 0.5000 0.0000 0.0000
5 Ca 0.0000 0.0000 0.0000

---

Compound: CaZnSb2
Source: Alexandria via LeMat-Bulk
Functional: meta-GGA SCAN
Structure: single point on PBEsol structure

Properties
Energy relative to the elements, uncorrected ... -0.36 eV per atom
Space group ... P4/mmm, No. 123

a b c (Å): 4.2978 4.6895 4.6895
angles (deg): 90.00 90.00 90.00
Element x y z (fractional)
1 Sb 0.0000 0.0000 0.5000
2 Sb 0.0000 0.5000 0.0000
3 Zn 0.5000 0.5000 0.5000
4 Ca 0.5000 0.0000 0.0000

---

Compound: CaZrSb2
Source: Alexandria via LeMat-Bulk
Functional: meta-GGA SCAN
Structure: single point on PBEsol structure

Properties
Energy relative to the elements, uncorrected ... -0.89 eV per atom
Space group ... R-3m, No. 166
Energy above the most stable polymorph in this dataset ... 0.000 eV/atom

a b c (Å): 4.1398 4.1398 7.6741
angles (deg): 74.35 74.35 60.00
Element x y z (fractional)
1 Sb 0.7430 0.7430 0.7711
2 Sb 0.2570 0.2570 0.2289
3 Ca 0.5000 0.5000 0.5000
4 Zr 0.0000 0.0000 0.0000

---

Compound: CaZr4Sb
Source: Alexandria via LeMat-Bulk
Functional: meta-GGA SCAN
Structure: single point on PBEsol structure

Properties
Energy relative to the elements, uncorrected ... 0.25 eV per atom
Space group ... F-43m, No. 216

a b c (Å): 5.8568 5.8568 5.8568
angles (deg): 60.00 60.00 60.00
Element x y z (fractional)
1 Ca 0.7500 0.7500 0.7500
2 Sb 0.0000 0.0000 0.0000
3 Zr 0.3779 0.3779 0.3779
4 Zr 0.3779 0.3779 0.8663
5 Zr 0.8663 0.3779 0.3779
6 Zr 0.3779 0.8663 0.3779

---

Compound: CaZr2Sb
Source: Alexandria via LeMat-Bulk
Functional: meta-GGA SCAN
Structure: single point on PBEsol structure

Properties
Energy relative to the elements, uncorrected ... -0.19 eV per atom
Space group ... C2/m, No. 12

a b c (Å): 3.2281 5.4376 5.8654
angles (deg): 102.52 105.97 90.00
Element x y z (fractional)
1 Sb 0.0000 0.5000 0.0000
2 Ca 0.5000 0.0000 0.0000
3 Zr 0.2731 0.2771 0.5462
4 Zr 0.7269 0.7229 0.4538

---

Compound: CaZrSb2
Source: Alexandria via LeMat-Bulk
Functional: meta-GGA SCAN
Structure: single point on PBEsol structure

Properties
Energy relative to the elements, uncorrected ... -0.65 eV per atom
Space group ... Cm, No. 8
Energy above the most stable polymorph in this dataset ... 0.243 eV/atom

a b c (Å): 3.9580 4.6325 5.8277
angles (deg): 90.14 109.85 90.00
Element x y z (fractional)
1 Sb 0.0168 0.1245 0.0336
2 Sb 0.2286 0.6253 0.4571
3 Ca 0.7513 0.1255 0.5026
4 Zr 0.5033 0.6247 0.0066

---

Compound: CaZrSb
Source: Alexandria via LeMat-Bulk
Functional: meta-GGA SCAN
Structure: single point on PBEsol structure

Properties
Energy relative to the elements, uncorrected ... 0.07 eV per atom
Space group ... F-43m, No. 216

a b c (Å): 4.9547 4.9547 4.9547
angles (deg): 60.00 60.00 60.00
Element x y z (fractional)
1 Sb 0.5000 0.5000 0.5000
2 Ca 0.0000 0.0000 0.0000
3 Zr 0.2500 0.2500 0.2500

---

Compound: CaZr2Sb
Source: Alexandria via LeMat-Bulk
Functional: meta-GGA SCAN
Structure: single point on PBEsol structure

Properties
Energy relative to the elements, uncorrected ... -0.07 eV per atom
Space group ... F-43m, No. 216

a b c (Å): 5.0593 5.0593 5.0593
angles (deg): 60.00 60.00 60.00
Element x y z (fractional)
1 Sb 0.2500 0.2500 0.2500
2 Ca 0.5000 0.5000 0.5000
3 Zr 0.0000 0.0000 0.0000
4 Zr 0.7500 0.7500 0.7500

---

Compound: CaZr2Sb
Source: Alexandria via LeMat-Bulk
Functional: meta-GGA SCAN
Structure: single point on PBEsol structure

Properties
Energy relative to the elements, uncorrected ... -0.23 eV per atom
Space group ... Cmm2, No. 35

a b c (Å): 3.2707 3.2707 9.4039
angles (deg): 90.00 90.00 95.92
Element x y z (fractional)
1 Sb 0.5000 0.5000 0.2298
2 Ca 0.0000 0.0000 0.4836
3 Zr 0.0000 0.0000 0.0061
4 Zr 0.5000 0.5000 0.7804

---

Compound: CaZr2Sb
Source: Alexandria via LeMat-Bulk
Functional: meta-GGA SCAN
Structure: single point on PBEsol structure

Properties
Energy relative to the elements, uncorrected ... -0.05 eV per atom
Space group ... Cmmm, No. 65

a b c (Å): 3.3587 3.3587 9.3878
angles (deg): 90.00 90.00 102.83
Element x y z (fractional)
1 Sb 0.5000 0.5000 0.0000
2 Ca 0.5000 0.5000 0.5000
3 Zr 0.0000 0.0000 0.2035
4 Zr 0.0000 0.0000 0.7965

---

Compound: CaZr2Sb
Source: Alexandria via LeMat-Bulk
Functional: meta-GGA SCAN
Structure: single point on PBEsol structure

Properties
Energy relative to the elements, uncorrected ... -0.23 eV per atom
Space group ... P4mm, No. 99

a b c (Å): 3.2727 3.2727 9.3613
angles (deg): 90.00 90.00 90.00
Element x y z (fractional)
1 Sb 0.5000 0.5000 0.7695
2 Ca 0.0000 0.0000 0.5168
3 Zr 0.0000 0.0000 0.9945
4 Zr 0.5000 0.5000 0.2191

---

Compound: CaZr2Sb
Source: Alexandria via LeMat-Bulk
Functional: meta-GGA SCAN
Structure: single point on PBEsol structure

Properties
Energy relative to the elements, uncorrected ... -0.22 eV per atom
Space group ... I4/mmm, No. 139

a b c (Å): 4.3687 4.3687 5.7744
angles (deg): 112.23 112.23 90.00
Element x y z (fractional)
1 Sb 0.0000 0.0000 0.0000
2 Ca 0.5000 0.5000 0.0000
3 Zr 0.7500 0.2500 0.5000
4 Zr 0.2500 0.7500 0.5000

---

Compound: CaSc
Source: Alexandria via LeMat-Bulk
Functional: meta-GGA SCAN
Structure: single point on PBEsol structure

Properties
Space group ... P4/nmm, No. 129
ΔH_f (0 K) ... 0.131 eV per atom
Energy above the most stable polymorph in this dataset ... 0.000 eV/atom

a b c (Å): 3.5840 3.5840 9.5672
angles (deg): 90.00 90.00 90.00
Element x y z (fractional)
1 Sc 0.5000 0.0000 0.4080
2 Sc 0.0000 0.5000 0.5920
3 Ca 0.5000 0.0000 0.8459
4 Ca 0.0000 0.5000 0.1541

---

Compound: Ca3Sc
Source: Alexandria via LeMat-Bulk
Functional: meta-GGA SCAN
Structure: single point on PBEsol structure

Properties
Space group ... Pm-3m, No. 221
ΔH_f (0 K) ... 0.992 eV per atom

a b c (Å): 6.1465 6.1465 6.1465
angles (deg): 90.00 90.00 90.00
Element x y z (fractional)
1 Sc 0.0000 0.0000 0.0000
2 Ca 0.5000 0.0000 0.0000
3 Ca 0.0000 0.5000 0.0000
4 Ca 0.0000 0.0000 0.5000